PBE-GGA Ac3MgGa, optimized geometry; energy of formation = -0.134 eV per atom; space group = Pm-3m (221)
1.0
8.067 0.000 0.000
0.000 8.067 0.000
0.000 0.000 8.067
Ac Mg Ga
9 3 3
Direct
0.233 0.767 0.767
0.767 0.767 0.233
0.767 0.233 0.233
0.767 0.767 0.767
0.233 0.233 0.767
0.767 0.233 0.767
0.233 0.233 0.233
0.500 0.500 0.500
0.233 0.767 0.233
0.500 0.000 0.500
0.500 0.500 0.000
0.000 0.500 0.500
0.000 0.500 0.000
0.500 0.000 0.000
0.000 0.000 0.500